1.
Here is a geometry-optimized Co8NiS8 structure from the Open Quantum Materials Database. Energies are from PBE.

The structure belongs to space group Fm-3m (No. 225); the cell edges are 9.8578, 9.8578 and 9.8578 Å and the angles 90.00°, 90.00° and 90.00°. Symmetry generates all atoms from Co at (0.1268, 0.1268, 0.1268), Ni at (0.0000, 0.0000, 0.5000), S at (0.0000, 0.0000, 0.2575) and S at (0.2500, 0.2500, 0.2500).

2.
Here is a geometry-optimized As2P2Ir structure from the Open Quantum Materials Database. Energies are from PBE.

The structure belongs to space group P4/mmm (No. 123); the cell edges are 3.4171, 3.4171 and 8.4069 Å and the angles 90.00°, 90.00° and 90.00°. Symmetry generates all atoms from As at (0.0000, 0.5000, 0.0000), P at (0.0000, 0.0000, 0.3684) and Ir at (0.5000, 0.5000, 0.5000).

| no. | volume (Å³ per atom) | E_tot (eV/atom) |
| --- | --- | --- |
| 1 | 14.1 | -6.08 |
| 2 | 19.6 | -5.26 |